# GeTeAs | the Alexandria database | GGA-PBE | relaxed
# Energy relative to the lowest polymorph listed for this composition ... 0.68 kcal/mol of atoms
# DFT total energy ... -0.297 Ry per atom
# Formation energy without anion corrections ... 9.2 kJ per mole of atoms
# V ... 23.80 Å³ per atom
data_GeTeAs
_chemical_formula_sum 'Ge1 Te1 As1'
_symmetry_space_group_name_H-M 'P 1'
_symmetry_Int_Tables_number 1
_cell_length_a 4.034
_cell_length_b 4.034
_cell_length_c 5.066
_cell_angle_alpha 90.00
_cell_angle_beta 90.00
_cell_angle_gamma 120.00
loop_
_symmetry_equiv_pos_as_xyz
'x,y,z'
loop_
_atom_site_label
_atom_site_fract_x
_atom_site_fract_y
_atom_site_fract_z
Ge1 0.000 0.000 0.000
Te1 0.333 0.667 0.358
As1 0.667 0.333 0.739

# AlTeCI2 | the Alexandria database | GGA-PBE | relaxed
# Energy relative to the lowest polymorph listed for this composition ... 0.00 kcal/mol of atoms
# DFT total energy ... -0.205 Ry per atom
# Formation energy without anion corrections ... 101.5 kJ per mole of atoms
# V ... 25.82 Å³ per atom
data_AlTeCI2
_chemical_formula_sum 'Al1 Te1 C1 I2'
_symmetry_space_group_name_H-M 'P 1'
_symmetry_Int_Tables_number 1
_cell_length_a 5.197
_cell_length_b 5.197
_cell_length_c 4.779
_cell_angle_alpha 90.00
_cell_angle_beta 90.00
_cell_angle_gamma 90.00
loop_
_symmetry_equiv_pos_as_xyz
'x,y,z'
loop_
_atom_site_label
_atom_site_fract_x
_atom_site_fract_y
_atom_site_fract_z
Al1 0.000 0.000 0.000
Te1 0.500 0.500 0.000
C1 0.500 0.500 0.500
I1 0.000 0.500 0.500
I2 0.500 0.000 0.500

# CaSc4Ga4 | the Alexandria database | GGA-PBE | relaxed
# DFT total energy ... -0.347 Ry per atom
# DFT formation energy ... -0.3358 eV/atom
# V ... 24.91 Å³ per atom
data_CaSc4Ga4
_chemical_formula_sum 'Ca2 Sc8 Ga8'
_symmetry_space_group_name_H-M 'P 1'
_symmetry_Int_Tables_number 1
_cell_length_a 9.022
_cell_length_b 9.022
_cell_length_c 5.510
_cell_angle_alpha 90.00
_cell_angle_beta 90.00
_cell_angle_gamma 90.00
loop_
_symmetry_equiv_pos_as_xyz
'x,y,z'
loop_
_atom_site_label
_atom_site_fract_x
_atom_site_fract_y
_atom_site_fract_z
Ca1 0.250 0.250 0.250
Ca2 0.750 0.750 0.750
Sc1 0.101 0.646 0.135
Sc2 0.146 0.899 0.635
Sc3 0.354 0.601 0.635
Sc4 0.399 0.854 0.135
Sc5 0.601 0.146 0.865
Sc6 0.646 0.399 0.365
Sc7 0.854 0.101 0.365
Sc8 0.899 0.354 0.865
Ga1 0.044 0.598 0.643
Ga2 0.098 0.956 0.143
Ga3 0.402 0.544 0.143
Ga4 0.456 0.902 0.643
Ga5 0.544 0.098 0.357
Ga6 0.598 0.456 0.857
Ga7 0.902 0.044 0.857
Ga8 0.956 0.402 0.357

# Bi3PbCl | the Alexandria database | GGA-PBE | relaxed
# Energy relative to the lowest polymorph listed for this composition ... 0.00 kcal/mol of atoms
# DFT total energy ... -0.222 Ry per atom
# Formation energy without anion corrections ... 40.6 kJ per mole of atoms
# V ... 34.51 Å³ per atom
data_Bi3PbCl
_chemical_formula_sum 'Bi3 Pb1 Cl1'
_symmetry_space_group_name_H-M 'P 1'
_symmetry_Int_Tables_number 1
_cell_length_a 5.567
_cell_length_b 5.567
_cell_length_c 5.567
_cell_angle_alpha 90.00
_cell_angle_beta 90.00
_cell_angle_gamma 90.00
loop_
_symmetry_equiv_pos_as_xyz
'x,y,z'
loop_
_atom_site_label
_atom_site_fract_x
_atom_site_fract_y
_atom_site_fract_z
Bi1 0.000 0.000 0.500
Bi2 0.000 0.500 0.000
Bi3 0.500 0.000 0.000
Pb1 0.500 0.500 0.500
Cl1 0.000 0.000 0.000

# Ho4CuTe | the Alexandria database | GGA-PBE | relaxed
# Energy relative to the lowest polymorph listed for this composition ... 4.70 kcal/mol of atoms
# DFT total energy ... -0.335 Ry per atom
# Formation energy without anion corrections ... -28.9 kJ per mole of atoms
# V ... 28.09 Å³ per atom
data_Ho4CuTe
_chemical_formula_sum 'Ho8 Cu2 Te2'
_symmetry_space_group_name_H-M 'P 1'
_symmetry_Int_Tables_number 1
_cell_length_a 8.326
_cell_length_b 8.326
_cell_length_c 7.069
_cell_angle_alpha 102.04
_cell_angle_beta 102.04
_cell_angle_gamma 44.91
loop_
_symmetry_equiv_pos_as_xyz
'x,y,z'
loop_
_atom_site_label
_atom_site_fract_x
_atom_site_fract_y
_atom_site_fract_z
Ho1 0.014 0.816 0.550
Ho2 0.184 0.986 0.950
Ho3 0.230 0.430 0.867
Ho4 0.430 0.230 0.367
Ho5 0.570 0.770 0.633
Ho6 0.770 0.570 0.133
Ho7 0.816 0.014 0.050
Ho8 0.986 0.184 0.450
Cu1 0.000 0.500 0.500
Cu2 0.500 0.000 0.000
Te1 0.369 0.631 0.250
Te2 0.631 0.369 0.750

# Er2ScNi2 | the Alexandria database | GGA-PBE | relaxed
# Energy relative to the lowest polymorph listed for this composition ... 0.00 kcal/mol of atoms
# DFT total energy ... -0.424 Ry per atom
# DFT formation energy ... -0.3652 eV/atom
# V ... 20.59 Å³ per atom
data_Er2ScNi2
_chemical_formula_sum 'Er2 Sc1 Ni2'
_symmetry_space_group_name_H-M 'P 1'
_symmetry_Int_Tables_number 1
_cell_length_a 5.707
_cell_length_b 5.707
_cell_length_c 5.707
_cell_angle_alpha 140.76
_cell_angle_beta 116.06
_cell_angle_gamma 77.66
loop_
_symmetry_equiv_pos_as_xyz
'x,y,z'
loop_
_atom_site_label
_atom_site_fract_x
_atom_site_fract_y
_atom_site_fract_z
Er1 0.195 0.195 0.000
Er2 0.805 0.805 0.000
Sc1 0.500 0.000 0.500
Ni1 0.205 0.500 0.705
Ni2 0.795 0.500 0.295

# H4IrCl | the Alexandria database | GGA-PBE | relaxed
# DFT total energy ... -0.285 Ry per atom
# V ... 10.34 Å³ per atom
data_H4IrCl
_chemical_formula_sum 'H4 Ir1 Cl1'
_symmetry_space_group_name_H-M 'P 1'
_symmetry_Int_Tables_number 1
_cell_length_a 2.852
_cell_length_b 4.844
_cell_length_c 5.268
_cell_angle_alpha 116.54
_cell_angle_beta 105.54
_cell_angle_gamma 90.31
loop_
_symmetry_equiv_pos_as_xyz
'x,y,z'
loop_
_atom_site_label
_atom_site_fract_x
_atom_site_fract_y
_atom_site_fract_z
H1 0.126 0.124 0.253
H2 0.313 0.818 0.626
H3 0.687 0.182 0.374
H4 0.874 0.876 0.747
Ir1 0.500 0.000 0.000
Cl1 0.500 0.500 0.000

# Y2TcW | the Alexandria database | GGA-PBE | relaxed
# Energy relative to the lowest polymorph listed for this composition ... 13.90 kcal/mol of atoms
# DFT total energy ... -0.616 Ry per atom
# DFT formation energy ... 0.6788 eV/atom
# V ... 21.07 Å³ per atom
data_Y2TcW
_chemical_formula_sum 'Y2 Tc1 W1'
_symmetry_space_group_name_H-M 'P 1'
_symmetry_Int_Tables_number 1
_cell_length_a 9.481
_cell_length_b 9.481
_cell_length_c 9.481
_cell_angle_alpha 19.65
_cell_angle_beta 19.65
_cell_angle_gamma 19.65
loop_
_symmetry_equiv_pos_as_xyz
'x,y,z'
loop_
_atom_site_label
_atom_site_fract_x
_atom_site_fract_y
_atom_site_fract_z
Y1 0.244 0.244 0.244
Y2 0.756 0.756 0.756
Tc1 0.500 0.500 0.500
W1 0.000 0.000 0.000

Q: Which formula does entry 1 have?
A: GeTeAs

Q: The lowest DFT total energy belongs to which entry?
A: Y2TcW

Q: Number 1 is which compound?
A: GeTeAs

Q: Which of these has the highest DFT total energy?
A: AlTeCI2